1.
# TlAsO2F, optimized geometry, DFT PBE-GGA
# Spin magnetization in μB per formula unit: 0.00
# V in A^3/atom: 14.15
# Crystal system: tetragonal
# D(E_F) in states/eV/f.u.: 1.804
# Calculated total energy in eV per formula unit: -24.0
data_TlAsO2F
_cell_length_a 3.911
_cell_length_b 3.911
_cell_length_c 4.625
_cell_angle_alpha 90.00
_cell_angle_beta 90.00
_cell_angle_gamma 90.00
_space_group_name_H-M_alt 'P 4/m m m'
_space_group_IT_number 123
_space_group_name_Hall '-P 4 2'
loop_
_atom_site_label
_atom_site_fract_x
_atom_site_fract_y
_atom_site_fract_z
Tl1 0.000 0.000 0.000
As1 0.500 0.500 0.500
O1 0.000 0.500 0.500
F1 0.500 0.500 0.000



2.
# Tl2AsO2F4, optimized geometry, DFT PBE-GGA
# Spin magnetization in μB per formula unit: 0.64
# V in A^3/atom: 16.04
# Crystal system: monoclinic
# D(E_F) in states/eV/f.u.: 3.928
# Calculated total energy in eV per formula unit: -40.6
data_Tl2AsO2F4
_cell_length_a 10.574
_cell_length_b 5.354
_cell_length_c 5.099
_cell_angle_alpha 90.00
_cell_angle_beta 90.37
_cell_angle_gamma 90.00
_space_group_name_H-M_alt 'C 1 2/m 1'
_space_group_IT_number 12
_space_group_name_Hall '-C 2y'
loop_
_atom_site_label
_atom_site_fract_x
_atom_site_fract_y
_atom_site_fract_z
Tl1 0.184 0.000 0.244
As1 0.000 0.500 0.000
O1 0.152 0.500 0.159
F1 0.058 0.256 0.776



3.
# TmAsO4F, optimized geometry, DFT PBE-GGA
# Spin magnetization in μB per formula unit: 1.03
# V in A^3/atom: 15.21
# Crystal system: monoclinic
# D(E_F) in states/eV/f.u.: 2.994
# Calculated total energy in eV per formula unit: -45.8
data_TmAsO4F
_cell_length_a 9.373
_cell_length_b 7.110
_cell_length_c 6.693
_cell_angle_alpha 90.00
_cell_angle_beta 107.29
_cell_angle_gamma 90.00
_space_group_name_H-M_alt 'C 1 2/m 1'
_space_group_IT_number 12
_space_group_name_Hall '-C 2y'
loop_
_atom_site_label
_atom_site_fract_x
_atom_site_fract_y
_atom_site_fract_z
Tm1 0.200 0.000 0.101
As1 0.146 0.500 0.277
O1 0.045 0.500 0.782
O2 0.205 0.316 0.154
O3 0.224 0.500 0.540
F1 0.010 0.000 0.820



Computed values of formation energy (no corrections) (unit: meV/atom) for the preceding records, in sequence: -1029, -1538, -2142.